A geometry-optimized LiYMg2Ag4 structure, computed with PBE-GGA.

Total magnetization in μB per formula unit: 0.00
Formation enthalpy at 0 K in meV/atom: -248
Total energy in eV/atom: -3.120
Theoretical density in g cm⁻³: 6.1

a = 4.7709 Å, b = 4.7709 Å, c = 23.9748 Å
α = 90.00°, β = 90.00°, γ = 120.00°
With the nearest neighbours (Å) after each atom.
Space group R-3m (No. 166, hexagonal axes)
Asymmetric unit:
1 Li 0.0000 0.0000 0.0000 (multiplicity 3)  8 Ag 2.67-2.91
2 Y 0.0000 0.0000 0.5000 (multiplicity 3)  8 Ag 3.06-3.07
3 Mg 0.0000 0.0000 0.2529 (multiplicity 6)  7 Ag 2.85-2.93
4 Ag 0.0000 0.0000 0.1114 (multiplicity 6)  1 Li 2.67, 3 Mg 2.85
5 Ag 0.0000 0.0000 0.3719 (multiplicity 6)  4 Mg 2.85-2.93, 3 Li 2.91, 1 Y 3.07

A geometry-optimized LiMg4Zn2Ag structure, computed with PBE-GGA.

Total magnetization in μB per formula unit: 0.00
Formation enthalpy at 0 K in meV/atom: -133
Total energy in eV/atom: -1.844
Theoretical density in g cm⁻³: 3.9

a = 4.6921 Å, b = 4.6921 Å, c = 22.9824 Å
α = 90.00°, β = 90.00°, γ = 120.00°
With the nearest neighbours (Å) after each atom.
Space group R-3m (No. 166, hexagonal axes)
Asymmetric unit:
1 Li 0.0000 0.0000 0.0000 (multiplicity 3)  8 Mg 2.89-2.90
2 Mg 0.0000 0.0000 0.1263 (multiplicity 6)  3 Ag 2.86, 1 Li 2.90, 4 Zn 2.91-2.93
3 Mg 0.0000 0.0000 0.3769 (multiplicity 6)  4 Zn 2.83, 1 Ag 2.83, 3 Li 2.89
4 Zn 0.0000 0.0000 0.2539 (multiplicity 6)  8 Mg 2.83-2.93
5 Ag 0.0000 0.0000 0.5000 (multiplicity 3)  8 Mg 2.83-2.86

A geometry-optimized Li5Mg2Zn2Ag structure, computed with PBE-GGA.

Total magnetization in μB per formula unit: 0.00
Formation enthalpy at 0 K in meV/atom: -83
Total energy in eV/atom: -1.898
Theoretical density in g cm⁻³: 3.0

a = 10.3201 Å, b = 10.3201 Å, c = 3.3564 Å
α = 90.00°, β = 90.00°, γ = 90.00°
With the nearest neighbours (Å) after each atom.
Space group P4/mbm (No. 127)
Asymmetric unit:
1 Li 0.0000 0.5000 0.0000 (multiplicity 2)  4 Zn 2.54
2 Li 0.0646 0.1918 0.0000 (multiplicity 8)  2 Zn 2.58, 2 Ag 2.68
3 Mg 0.1702 0.6702 0.5000 (multiplicity 4)  3 Zn 2.91-3.13, 6 Li 3.00-3.22
4 Zn 0.1302 0.3698 0.5000 (multiplicity 4)  6 Li 2.54-2.58
5 Ag 0.0000 0.0000 0.5000 (multiplicity 2)  8 Li 2.68

A geometry-optimized Li2MgZn2Ag5 structure, computed with PBE-GGA.

Total magnetization in μB per formula unit: 0.00
Formation enthalpy at 0 K in meV/atom: -109
Total energy in eV/atom: -2.332
Theoretical density in g cm⁻³: 6.5

a = 9.2734 Å, b = 9.2734 Å, c = 4.1982 Å
α = 90.00°, β = 90.00°, γ = 90.00°
With the nearest neighbours (Å) after each atom.
Space group P4/mbm (No. 127)
Asymmetric unit:
1 Li 0.1689 0.3311 0.0000 (multiplicity 4)  3 Zn 2.68-2.77
2 Mg 0.0000 0.0000 0.0000 (multiplicity 2)  8 Ag 2.89
3 Zn 0.1268 0.6268 0.0000 (multiplicity 4)  6 Ag 2.68-2.69, 3 Li 2.68-2.77
4 Ag 0.0000 0.5000 0.5000 (multiplicity 2)  4 Zn 2.68, 4 Ag 2.91
5 Ag 0.0844 0.8024 0.5000 (multiplicity 8)  2 Zn 2.69, 4 Ag 2.82-2.91, 2 Mg 2.89

A geometry-optimized Li2Mg2Zn2Ag structure, computed with PBE-GGA.

Total magnetization in μB per formula unit: 0.00
Formation enthalpy at 0 K in meV/atom: -152
Total energy in eV/atom: -1.926
Theoretical density in g cm⁻³: 4.3

a = 7.8276 Å, b = 4.4892 Å, c = 7.0228 Å
α = 90.00°, β = 111.08°, γ = 90.00°
With the nearest neighbours (Å) after each atom.
Space group C2/m (No. 12)
Asymmetric unit:
1 Li 0.2185 0.0000 0.1567 (multiplicity 4)  1 Zn 2.70, 4 Mg 2.71-2.81, 3 Ag 2.79-2.80
2 Mg 0.0771 0.0000 0.7286 (multiplicity 4)  4 Li 2.71-2.81, 3 Zn 2.80-2.81, 1 Mg 3.00
3 Zn 0.1429 0.5000 0.4314 (multiplicity 4)  1 Li 2.70, 3 Zn 2.74-2.76, 3 Mg 2.80-2.81, 1 Ag 2.83
4 Ag 0.0000 0.5000 0.0000 (multiplicity 2)  6 Li 2.79-2.80, 2 Zn 2.83

A geometry-optimized LiMgZnAg structure, computed with PBE-GGA.

Total magnetization in μB per formula unit: 0.00
Formation enthalpy at 0 K in meV/atom: -195
Total energy in eV/atom: -2.104
Theoretical density in g cm⁻³: 5.1

a = 4.1579 Å, b = 4.1579 Å, c = 7.7503 Å
α = 90.00°, β = 90.00°, γ = 90.00°
With the nearest neighbours (Å) after each atom.
Space group I-4m2 (No. 119)
Asymmetric unit:
1 Li 0.0000 0.0000 0.0000 (multiplicity 2)  4 Mg 2.84, 4 Zn 2.84, 4 Ag 2.94
2 Mg 0.0000 0.5000 0.7500 (multiplicity 2)  4 Li 2.84, 4 Ag 2.84, 4 Zn 2.94
3 Zn 0.0000 0.5000 0.2500 (multiplicity 2)  4 Li 2.84, 4 Ag 2.84, 4 Mg 2.94
4 Ag 0.0000 0.0000 0.5000 (multiplicity 2)  4 Mg 2.84, 4 Zn 2.84, 4 Li 2.94

A geometry-optimized LiMg2Zn2Ag5 structure, computed with PBE-GGA.

Total magnetization in μB per formula unit: 0.00
Formation enthalpy at 0 K in meV/atom: -94
Total energy in eV/atom: -2.285
Theoretical density in g cm⁻³: 6.6

a = 9.4943 Å, b = 9.4943 Å, c = 4.0448 Å
α = 90.00°, β = 90.00°, γ = 90.00°
With the nearest neighbours (Å) after each atom.
Space group P4/mbm (No. 127)
Asymmetric unit:
1 Li 0.0000 0.0000 0.0000 (multiplicity 2)  8 Ag 2.84
2 Mg 0.1711 0.3289 0.0000 (multiplicity 4)  3 Zn 2.70-2.87
3 Zn 0.1275 0.6275 0.0000 (multiplicity 4)  6 Ag 2.65-2.67, 3 Mg 2.70-2.87
4 Ag 0.0000 0.5000 0.5000 (multiplicity 2)  4 Zn 2.65
5 Ag 0.0782 0.8044 0.5000 (multiplicity 8)  2 Zn 2.67, 3 Ag 2.83-2.98, 2 Li 2.84

A geometry-optimized Li2Mg2ZnAg5 structure, computed with PBE-GGA.

Total magnetization in μB per formula unit: 0.00
Formation enthalpy at 0 K in meV/atom: -99
Total energy in eV/atom: -2.354
Theoretical density in g cm⁻³: 6.4

a = 9.4966 Å, b = 9.4966 Å, c = 3.8649 Å
α = 90.00°, β = 90.00°, γ = 90.00°
With the nearest neighbours (Å) after each atom.
Space group P4/mbm (No. 127)
Asymmetric unit:
1 Li 0.1250 0.3750 0.0000 (multiplicity 4)  6 Ag 2.56-2.60, 3 Mg 2.74-2.84
2 Mg 0.1708 0.6708 0.0000 (multiplicity 4)  3 Li 2.74-2.84, 6 Ag 3.00-3.05
3 Zn 0.0000 0.0000 0.0000 (multiplicity 2)  8 Ag 2.80
4 Ag 0.0000 0.5000 0.5000 (multiplicity 2)  4 Li 2.56
5 Ag 0.0816 0.1964 0.5000 (multiplicity 8)  2 Li 2.60, 2 Zn 2.80, 2 Ag 2.86

A geometry-optimized LiMgZn2Ag5 structure, computed with PBE-GGA.

Total magnetization in μB per formula unit: 0.00
Formation enthalpy at 0 K in meV/atom: -56
Total energy in eV/atom: -2.313
Theoretical density in g cm⁻³: 6.9

a = 4.0143 Å, b = 4.0143 Å, c = 10.4120 Å
α = 90.00°, β = 90.00°, γ = 90.00°
With the nearest neighbours (Å) after each atom.
Space group P4/mmm (No. 123)
Asymmetric unit:
1 Li 0.0000 0.0000 0.0000 (multiplicity 1)  8 Zn 3.09
2 Mg 0.0000 0.0000 0.5000 (multiplicity 1)  12 Ag 2.84-2.98
3 Zn 0.5000 0.5000 0.1161 (multiplicity 2)  1 Zn 2.42, 4 Ag 2.69
4 Ag 0.0000 0.5000 0.2883 (multiplicity 4)  2 Zn 2.69, 6 Ag 2.84-2.98, 2 Mg 2.98
5 Ag 0.5000 0.5000 0.5000 (multiplicity 1)  4 Mg 2.84, 8 Ag 2.98

A geometry-optimized LiMg3ZnAg structure, computed with PBE-GGA.

Total magnetization in μB per formula unit: 0.00
Formation enthalpy at 0 K in meV/atom: -100
Total energy in eV/atom: -1.904
Theoretical density in g cm⁻³: 3.6

a = 18.4970 Å, b = 4.5981 Å, c = 5.6598 Å
α = 90.00°, β = 103.18°, γ = 90.00°
With the nearest neighbours (Å) after each atom.
Space group C2/m (No. 12)
Asymmetric unit:
1 Li 0.0681 0.0000 0.1806 (multiplicity 4)  2 Ag 2.74, 3 Mg 2.85-3.04, 1 Li 2.86
2 Mg 0.0360 0.5000 0.7774 (multiplicity 4)  1 Zn 2.87, 2 Ag 2.91-2.92, 4 Li 3.04-3.20, 4 Mg 3.11-3.12
3 Mg 0.1464 0.0000 0.7343 (multiplicity 4)  3 Zn 2.86-3.03, 2 Ag 2.90, 3 Mg 3.06-3.12, 2 Li 3.14-3.18
4 Mg 0.2262 0.0000 0.3165 (multiplicity 4)  3 Zn 2.79-2.81, 3 Ag 2.83-3.10, 1 Li 2.85, 3 Mg 3.06-3.09
5 Zn 0.1887 0.5000 0.0351 (multiplicity 4)  1 Ag 2.68, 6 Mg 2.79-2.87
6 Ag 0.1248 0.5000 0.4147 (multiplicity 4)  1 Zn 2.68, 2 Li 2.74, 5 Mg 2.83-2.92

A geometry-optimized LiMg2Zn5Ag2 structure, computed with PBE-GGA.

Total magnetization in μB per formula unit: 0.00
Formation enthalpy at 0 K in meV/atom: -89
Total energy in eV/atom: -1.807
Theoretical density in g cm⁻³: 5.6

a = 9.1091 Å, b = 9.1091 Å, c = 4.2448 Å
α = 90.00°, β = 90.00°, γ = 90.00°
With the nearest neighbours (Å) after each atom.
Space group P4/mbm (No. 127)
Asymmetric unit:
1 Li 0.0000 0.0000 0.0000 (multiplicity 2)  8 Zn 2.84
2 Mg 0.1769 0.3231 0.0000 (multiplicity 4)  3 Ag 2.62-2.75
3 Zn 0.0000 0.5000 0.5000 (multiplicity 2)  4 Ag 2.62, 4 Zn 2.85
4 Zn 0.0706 0.8046 0.5000 (multiplicity 8)  3 Zn 2.68-2.85, 2 Ag 2.75, 2 Li 2.84
5 Ag 0.1198 0.6198 0.0000 (multiplicity 4)  3 Mg 2.62-2.75, 6 Zn 2.62-2.75

A geometry-optimized LiMg4ZnAg2 structure, computed with PBE-GGA.

Total magnetization in μB per formula unit: 0.00
Formation enthalpy at 0 K in meV/atom: -182
Total energy in eV/atom: -2.090
Theoretical density in g cm⁻³: 4.3

a = 4.6834 Å, b = 4.6834 Å, c = 23.2434 Å
α = 90.00°, β = 90.00°, γ = 120.00°
With the nearest neighbours (Å) after each atom.
Space group R-3m (No. 166, hexagonal axes)
Asymmetric unit:
1 Li 0.0000 0.0000 0.0000 (multiplicity 3)  8 Mg 2.88-2.94
2 Mg 0.0000 0.0000 0.1264 (multiplicity 6)  3 Zn 2.86, 4 Ag 2.91-2.94, 1 Li 2.94
3 Mg 0.0000 0.0000 0.3765 (multiplicity 6)  4 Ag 2.84-2.87, 1 Zn 2.87, 3 Li 2.88
4 Zn 0.0000 0.0000 0.5000 (multiplicity 3)  8 Mg 2.86-2.87
5 Ag 0.0000 0.0000 0.2530 (multiplicity 6)  8 Mg 2.84-2.94

Q: Look up the total magnetization of the sixth one.
A: 0.00 μB per formula unit